Record 1
Below is an optimized crystal structure of LaZn3CuRh, with properties calculated at the PBE level.

abc: 5.3215 6.3447 7.1972
angles: 116.15 90.00 90.00
Element x y z (fractional)
Cu (0.7500, 0.0592, 0.1185)
Cu (0.2500, 0.9408, 0.8815)
Zn (0.7500, 0.8615, 0.7230)
Zn (0.2500, 0.1385, 0.2770)
Zn (0.5000, 0.6997, 0.0000)
Zn (0.0000, 0.3003, 0.0000)
Zn (0.0000, 0.6997, 0.0000)
Zn (0.5000, 0.3003, 0.0000)
La (0.7500, 0.2843, 0.5686)
La (0.2500, 0.7157, 0.4314)
Rh (0.7500, 0.6568, 0.3137)
Rh (0.2500, 0.3432, 0.6863)

Computed properties:
space-group type = Cmcm, No. 63
electronic total energy = -3.642 eV per atom

---

Record 2
Below is an optimized crystal structure of La2ZnCu2Rh5, with properties calculated at the PBE level.

abc: 3.8671 9.4488 9.4488
angles: 90.00 90.00 90.00
Element x y z (fractional)
Cu (0.0000, 0.1204, 0.6204)
Cu (0.0000, 0.3796, 0.1204)
Cu (0.0000, 0.8796, 0.3796)
Cu (0.0000, 0.6204, 0.8796)
Rh (0.5000, 0.9357, 0.2032)
Rh (0.5000, 0.7032, 0.4357)
Rh (0.5000, 0.4357, 0.2968)
Rh (0.5000, 0.2968, 0.5643)
Rh (0.5000, 0.5643, 0.7032)
Rh (0.5000, 0.7968, 0.9357)
Rh (0.5000, 0.0643, 0.7968)
Rh (0.5000, 0.0000, 0.5000)
Rh (0.5000, 0.5000, 0.0000)
Rh (0.5000, 0.2032, 0.0643)
La (0.0000, 0.1783, 0.3217)
La (0.0000, 0.6783, 0.1783)
La (0.0000, 0.8217, 0.6783)
La (0.0000, 0.3217, 0.8217)
Zn (0.0000, 0.5000, 0.5000)
Zn (0.0000, 0.0000, 0.0000)

Computed properties:
space-group type = P4/mbm, No. 127
electronic total energy = -5.996 eV per atom

---

Record 3
Below is an optimized crystal structure of LaZnCuRh, with properties calculated at the PBE level.

abc: 4.3487 4.3409 5.4994
angles: 113.37 90.00 120.06
Element x y z (fractional)
La (0.6193, 0.2386, 0.5012)
Zn (0.1143, 0.2285, 0.9846)
Cu (0.8194, 0.6388, 0.1003)
Rh (0.4133, 0.8267, 0.8813)

Computed properties:
space-group type = Cm, No. 8
electronic total energy = -4.866 eV per atom

---

Record 4
Below is an optimized crystal structure of LaCuRu, with properties calculated at the PBE level.

abc: 4.5093 4.5093 4.5093
angles: 60.00 60.00 60.00
Element x y z (fractional)
Cu (0.0000, 0.0000, 0.0000)
Ru (0.7500, 0.7500, 0.7500)
La (0.5000, 0.5000, 0.5000)

Computed properties:
space-group type = F-43m, No. 216
energy relative to the lowest polymorph listed for this composition = 0.371 eV/atom
electronic total energy = -5.921 eV per atom

---

Record 5
Below is an optimized crystal structure of LaCu3Ru, with properties calculated at the PBE level.

abc: 4.6776 4.6776 4.6776
angles: 90.00 90.00 90.00
Element x y z (fractional)
Ru (0.0000, 0.0000, 0.0000)
Cu (0.0000, 0.0000, 0.5000)
Cu (0.5000, 0.0000, 0.0000)
Cu (0.0000, 0.5000, 0.0000)
La (0.5000, 0.5000, 0.5000)

Computed properties:
space-group type = Pm-3m, No. 221
energy relative to the lowest polymorph listed for this composition = 0.000 eV/atom
electronic total energy = -4.933 eV per atom

---

Record 6
Below is an optimized crystal structure of LaCuRu2, with properties calculated at the PBE level.

abc: 4.1379 4.1353 4.0748
angles: 90.00 90.00 90.00
Element x y z (fractional)
La (0.0000, 0.5000, 0.5000)
Ru (0.5000, 0.5000, 0.0000)
Ru (0.0000, 0.0000, 0.0000)
Cu (0.5000, 0.0000, 0.5000)

Computed properties:
space-group type = P4/mmm, No. 123
energy relative to the lowest polymorph listed for this composition = 0.317 eV/atom
electronic total energy = -6.628 eV per atom

---

Record 7
Below is an optimized crystal structure of LaCuRu2, with properties calculated at the PBE level.

abc: 4.3643 2.9913 5.5303
angles: 77.98 90.00 90.00
Element x y z (fractional)
Ru (0.5000, 0.3891, 0.2153)
Ru (0.0000, 0.9969, 0.0794)
Cu (0.0000, 0.3506, 0.4772)
La (0.5000, 0.7634, 0.7281)

Computed properties:
space-group type = Pm, No. 6
energy relative to the lowest polymorph listed for this composition = 0.228 eV/atom
electronic total energy = -6.717 eV per atom

---

Record 8
Below is an optimized crystal structure of La3CuRu, with properties calculated at the PBE level.

abc: 5.9996 6.7168 8.5866
angles: 121.72 80.78 110.69
Element x y z (fractional)
La (0.9492, 0.7193, 0.7934)
La (0.5968, 0.2111, 0.8733)
La (0.4032, 0.7889, 0.1267)
La (0.7434, 0.7070, 0.4227)
La (0.2566, 0.2930, 0.5773)
La (0.0507, 0.2807, 0.2066)
Cu (0.7089, 0.1669, 0.4795)
Cu (0.2911, 0.8331, 0.5205)
Ru (0.0995, 0.2661, 0.8815)
Ru (0.9005, 0.7339, 0.1185)

Computed properties:
space-group type = P-1, No. 2
energy relative to the lowest polymorph listed for this composition = 0.006 eV/atom
electronic total energy = -5.827 eV per atom

---

Record 9
Below is an optimized crystal structure of LaCuRu, with properties calculated at the PBE level.

abc: 5.4725 5.4725 5.4725
angles: 85.91 123.81 120.99
Element x y z (fractional)
Cu (0.0000, 0.5000, 0.0000)
Cu (0.5000, 0.5000, 0.5000)
Ru (0.0000, 0.5000, 0.5000)
Ru (0.5000, 0.0000, 0.5000)
La (0.2500, 0.1228, 0.8728)
La (0.7500, 0.8772, 0.1272)

Computed properties:
space-group type = Imma, No. 74
energy relative to the lowest polymorph listed for this composition = 0.000 eV/atom
electronic total energy = -6.292 eV per atom

---

Record 10
Below is an optimized crystal structure of LaCu3Ru, with properties calculated at the PBE level.

abc: 4.9597 4.9597 4.9597
angles: 90.00 90.00 90.00
Each line ends with the local moment (μB).
Element x y z (fractional)
Ru (0.5000, 0.5000, 0.5000)  2.32
Cu (0.5000, 0.0000, 0.0000)  -0.02
Cu (0.0000, 0.5000, 0.0000)  0.01
Cu (0.0000, 0.0000, 0.5000)  0.05
La (0.0000, 0.0000, 0.0000)  -0.04

Computed properties:
space-group type = Pm-3m, No. 221
energy relative to the lowest polymorph listed for this composition = 1.435 eV/atom
electronic total energy = -3.498 eV per atom

---

Record 11
Below is an optimized crystal structure of LaCuRu2, with properties calculated at the PBE level.

abc: 4.7819 4.7819 5.0140
angles: 79.36 79.36 38.53
Element x y z (fractional)
Cu (0.7500, 0.7500, 0.7500)
Ru (0.0207, 0.0207, 0.9518)
Ru (0.4793, 0.4793, 0.5482)
La (0.2500, 0.2500, 0.2500)

Computed properties:
space-group type = C2/m, No. 12
energy relative to the lowest polymorph listed for this composition = 0.305 eV/atom
electronic total energy = -6.641 eV per atom

---

Record 12
Below is an optimized crystal structure of La3CuRu, with properties calculated at the PBE level.

abc: 5.4739 5.4739 5.4739
angles: 90.00 90.00 90.00
Element x y z (fractional)
La (0.0000, 0.5000, 0.0000)
La (0.0000, 0.0000, 0.5000)
La (0.5000, 0.0000, 0.0000)
Cu (0.5000, 0.5000, 0.5000)
Ru (0.0000, 0.0000, 0.0000)

Computed properties:
space-group type = Pm-3m, No. 221
energy relative to the lowest polymorph listed for this composition = 0.238 eV/atom
electronic total energy = -5.595 eV per atom

---

Number 1: ΔE_f -0.275 eV/atom, magnetization 0.0000 μB/atom. Number 2: ΔE_f -0.388 eV/atom, magnetization 0.0000 μB/atom. Number 3: ΔE_f -0.454 eV/atom, magnetization 0.0000 μB/atom. Number 4: ΔE_f 0.179 eV/atom, magnetization 0.0001 μB/atom. Number 5: ΔE_f 0.366 eV/atom, magnetization 0.0000 μB/atom. Number 6: ΔE_f 0.265 eV/atom, magnetization 0.0001 μB/atom. Number 7: ΔE_f 0.176 eV/atom, magnetization 0.0000 μB/atom. Number 8: ΔE_f -0.196 eV/atom, magnetization 0.0000 μB/atom. Number 9: ΔE_f -0.192 eV/atom, magnetization 0.0000 μB/atom. Number 10: ΔE_f 1.800 eV/atom, magnetization 0.4570 μB/atom. Number 11: ΔE_f 0.253 eV/atom, magnetization 0.0005 μB/atom. Number 12: ΔE_f 0.036 eV/atom, magnetization 0.0000 μB/atom.